Density functional theory data (PBEsol) for a relaxed KBe3Pt crystal.

formation energy from the elements = 2512.4 meV per atom

The structure in CIF format:
```
data_KBe3Pt
_cell_length_a 4.1797
_cell_length_b 4.1797
_cell_length_c 4.1797
_cell_angle_alpha 90.00
_cell_angle_beta 90.00
_cell_angle_gamma 90.00
_space_group_name_H-M_alt 'P m -3 m'
_space_group_IT_number 221
_space_group_name_Hall '-P 4 2 3'
loop_
_atom_site_label
_atom_site_type_symbol
_atom_site_fract_x
_atom_site_fract_y
_atom_site_fract_z
K1 K 0.0000 0.0000 0.0000
Be1 Be 0.0000 0.0000 0.5000
Pt1 Pt 0.5000 0.5000 0.5000
```